# TiFe2CoO6, relaxed, DFT GGA+U
# * final energy: -212.3 eV for the cell shown
data_TiFe2CoO6
_cell_length_a 5.0559
_cell_length_b 5.0559
_cell_length_c 13.8717
_cell_angle_alpha 90.00
_cell_angle_beta 90.00
_cell_angle_gamma 120.00
_space_group_name_H-M_alt 'R 3'
_space_group_IT_number 146
_space_group_name_Hall 'R 3'
loop_
_atom_site_label
_atom_site_type_symbol
_atom_site_fract_x
_atom_site_fract_y
_atom_site_fract_z
_atom_site_occupancy
Ti1 Ti 0.0000 0.0000 0.0000 1
Fe1 Fe 0.0000 0.0000 0.3027 1
Fe2 Fe 0.0000 0.0000 0.7973 1
Co1 Co 0.0000 0.0000 0.5103 1
O1 O 0.0208 0.3108 0.9005 1
O2 O 0.0232 0.6698 0.0605 1